--- i ---
Computed, not measured: a relaxed CoRuCl3 crystal at the PBE level of DFT.

Output
Total moment in μB per formula unit: 2.00
Calculated volume in Å³ per cell: 409.8
N(E_F) in states/eV/cell: 0.000
Symmetry: No. 227

Geometry as POSCAR:
```
CoRuCl3
1.0
0.000 5.895 5.895
5.895 0.000 5.895
5.895 5.895 0.000
Co Ru Cl
4 4 12
Cartesian
0.000 0.000 0.000
2.948 2.948 0.000
2.948 0.000 2.948
0.000 2.948 2.948
5.895 2.948 2.948
2.948 5.895 2.948
2.948 2.948 5.895
5.895 5.895 5.895
4.421 4.421 1.827
4.421 1.827 4.421
7.016 4.421 4.421
7.369 7.369 4.774
7.369 4.774 7.369
9.964 7.369 7.369
1.827 4.421 4.421
4.421 7.016 4.421
4.421 4.421 7.016
4.774 7.369 7.369
7.369 9.964 7.369
7.369 7.369 9.964
```



--- ii ---
Computed, not measured: a relaxed CoRuCl3 crystal at the PBE level of DFT.

Output
Total moment in μB per formula unit: 1.06
Calculated volume in Å³ per cell: 252.8
N(E_F) in states/eV/cell: 7.892
Symmetry: No. 1

Geometry as POSCAR:
```
CoRuCl3
1.0
5.613 0.000 0.000
1.980 6.421 0.000
2.385 2.556 7.013
Co Ru Cl
2 2 6
Cartesian
0.000 0.000 0.000
4.719 5.601 6.399
4.409 2.379 0.262
8.115 6.607 6.612
3.321 5.906 4.571
1.588 1.441 0.709
5.829 7.481 5.946
4.191 2.712 2.489
6.211 5.408 1.432
6.720 3.496 5.408
```



What is the least stable structure shown above? It is i.